1.
Computed, not measured: crystalline KPuCo at its relaxed geometry at the PBE level of DFT.

The calculation puts the magnetic moment at 5.5 μB per cell. As for the symmetry: No. 216. For the energy, the calculation gives -6.467 eV per atom.

The structure in POSCAR format:
```
KPuCo
1.0
0.000 3.451 3.451
3.451 0.000 3.451
3.451 3.451 0.000
K Pu Co
1 1 1
direct
0.000 0.000 0.000
0.500 0.500 0.500
0.250 0.250 0.250
```



2.
Computed, not measured: crystalline KRbCo at its relaxed geometry at the PBE level of DFT.

The calculation puts the magnetic moment at 1.3 μB per cell. As for the symmetry: No. 216. For the energy, the calculation gives -1.998 eV per atom.

The structure in POSCAR format:
```
KRbCo
1.0
0.000 4.123 4.123
4.123 0.000 4.123
4.123 4.123 0.000
K Rb Co
1 1 1
direct
0.000 0.000 0.000
0.500 0.500 0.500
0.250 0.250 0.250
```



> Which value of magnetic moment does entry 1 give?

5.5 μB per cell



> What is the energy in the second record?

-1.998 eV per atom



> Which of these has the highest energy?

KRbCo



> Which value of energy does entry 1 give?

-6.467 eV per atom